1.
# NdMnTc, relaxed, DFT GGA-PBE
data_NdMnTc
_cell_length_a 6.687
_cell_length_b 6.687
_cell_length_c 5.828
_cell_angle_alpha 90.00
_cell_angle_beta 90.00
_cell_angle_gamma 90.00
_symmetry_space_group_name_H-M 'P 1'
_symmetry_Int_Tables_number 1
_symmetry_space_group_name_Hall 'P 1'
loop_
_atom_site_label
_atom_site_fract_x
_atom_site_fract_y
_atom_site_fract_z
_atom_site_occupancy
Tc1 0.317 0.683 0.250 1
Tc2 0.683 0.317 0.750 1
Tc3 0.817 0.817 0.500 1
Tc4 0.183 0.183 0.000 1
Mn1 0.438 0.438 0.000 1
Mn2 0.562 0.562 0.500 1
Mn3 0.062 0.938 0.250 1
Mn4 0.938 0.062 0.750 1
Nd1 0.740 0.740 0.000 1
Nd2 0.760 0.240 0.250 1
Nd3 0.260 0.260 0.500 1
Nd4 0.240 0.760 0.750 1
# ρ, g cm⁻³: 7.57
# Space-group type: P4_12_12
# Size of the total moment, μB per atom: 0.00
# Formation enthalpy at 0 K, eV per atom: 0.576

***

2.
# Pm4PrNd2Sm, relaxed, DFT GGA-PBE
data_Pm4PrNd2Sm
_cell_length_a 9.650
_cell_length_b 9.650
_cell_length_c 12.017
_cell_angle_alpha 128.42
_cell_angle_beta 128.42
_cell_angle_gamma 88.00
_symmetry_space_group_name_H-M 'P 1'
_symmetry_Int_Tables_number 1
_symmetry_space_group_name_Hall 'P 1'
loop_
_atom_site_label
_atom_site_fract_x
_atom_site_fract_y
_atom_site_fract_z
_atom_site_occupancy
Nd1 0.500 0.000 0.000 1
Nd2 0.500 0.000 0.500 1
Nd3 0.500 0.500 0.000 1
Nd4 0.000 0.000 0.500 1
Pr1 0.000 0.500 0.000 1
Pr2 0.000 0.500 0.500 1
Pm1 0.192 0.191 0.440 1
Pm2 0.808 0.809 0.560 1
Pm3 0.252 0.749 0.503 1
Pm4 0.249 0.752 0.003 1
Pm5 0.691 0.692 0.940 1
Pm6 0.748 0.251 0.497 1
Pm7 0.751 0.248 0.997 1
Pm8 0.309 0.308 0.060 1
Sm1 0.500 0.500 0.500 1
Sm2 0.000 0.000 0.000 1
# ρ, g cm⁻³: 6.84
# Space-group type: C2/c
# Size of the total moment, μB per atom: 0.00
# Formation enthalpy at 0 K, eV per atom: 0.371

***

3.
# AgP2AuO, relaxed, DFT GGA-PBE
data_AgP2AuO
_cell_length_a 4.867
_cell_length_b 3.908
_cell_length_c 4.867
_cell_angle_alpha 90.00
_cell_angle_beta 90.00
_cell_angle_gamma 90.00
_symmetry_space_group_name_H-M 'P 1'
_symmetry_Int_Tables_number 1
_symmetry_space_group_name_Hall 'P 1'
loop_
_atom_site_label
_atom_site_fract_x
_atom_site_fract_y
_atom_site_fract_z
_atom_site_occupancy
Ag1 0.000 0.000 0.000 1
P1 0.000 0.000 0.500 1
P2 0.500 0.000 0.000 1
O1 0.000 0.500 0.000 1
Au1 0.500 0.500 0.500 1
# ρ, g cm⁻³: 6.87
# Polymorph energy (0 for the lowest one), eV/atom: 0.100
# Space-group type: P4/mmm
# Size of the total moment, μB per atom: 0.10